1.
# PBEsol La2Mo, relaxed
# energy relative to the elements: 0.485 eV per atom
# excess energy over the best structure of this formula in the dataset: 0.23 eV per formula unit
# SG: P6_3/mmc
data_La2Mo
_space_group_name_H-M_alt 'P 1'
_space_group_IT_number 1
_space_group_name_Hall 'P 1'
_cell_length_a 4.7758
_cell_length_b 4.7758
_cell_length_c 7.8768
_cell_angle_alpha 90.00
_cell_angle_beta 90.00
_cell_angle_gamma 120.00
loop_
_atom_site_label
_atom_site_type_symbol
_atom_site_fract_x
_atom_site_fract_y
_atom_site_fract_z
_atom_site_occupancy
La1 La 0.0000 0.0000 0.0000 1
La2 La 0.0000 0.0000 0.5000 1
La3 La 0.3333 0.6667 0.2500 1
La4 La 0.6667 0.3333 0.7500 1
Mo1 Mo 0.3333 0.6667 0.7500 1
Mo2 Mo 0.6667 0.3333 0.2500 1

=====

2.
# PBEsol LaMo5, relaxed
# energy relative to the elements: 0.376 eV per atom
# excess energy over the best structure of this formula in the dataset: 0.00 eV per formula unit
# SG: C2/m
data_LaMo5
_space_group_name_H-M_alt 'P 1'
_space_group_IT_number 1
_space_group_name_Hall 'P 1'
_cell_length_a 5.3470
_cell_length_b 5.3470
_cell_length_c 6.5965
_cell_angle_alpha 106.94
_cell_angle_beta 106.94
_cell_angle_gamma 34.45
loop_
_atom_site_label
_atom_site_type_symbol
_atom_site_fract_x
_atom_site_fract_y
_atom_site_fract_z
_atom_site_occupancy
La1 La 0.0000 0.0000 0.0000 1
Mo1 Mo 0.0000 0.0000 0.5000 1
Mo2 Mo 0.3224 0.3224 0.6460 1
Mo3 Mo 0.3353 0.3353 0.1826 1
Mo4 Mo 0.6647 0.6647 0.8174 1
Mo5 Mo 0.6776 0.6776 0.3540 1

=====

3.
# PBEsol LaMo3, relaxed
# energy relative to the elements: 0.417 eV per atom
# excess energy over the best structure of this formula in the dataset: 0.00 eV per formula unit
# SG: Cmmm
data_LaMo3
_space_group_name_H-M_alt 'P 1'
_space_group_IT_number 1
_space_group_name_Hall 'P 1'
_cell_length_a 2.8514
_cell_length_b 2.8514
_cell_length_c 9.5334
_cell_angle_alpha 90.00
_cell_angle_beta 90.00
_cell_angle_gamma 111.66
loop_
_atom_site_label
_atom_site_type_symbol
_atom_site_fract_x
_atom_site_fract_y
_atom_site_fract_z
_atom_site_occupancy
La1 La 0.0000 0.0000 0.0000 1
Mo1 Mo 0.0000 0.0000 0.5000 1
Mo2 Mo 0.5000 0.5000 0.2836 1
Mo3 Mo 0.5000 0.5000 0.7164 1

=====

4.
# PBEsol LaMo2, relaxed
# energy relative to the elements: 0.397 eV per atom
# excess energy over the best structure of this formula in the dataset: 0.00 eV per formula unit
# SG: Cmcm
data_LaMo2
_space_group_name_H-M_alt 'P 1'
_space_group_IT_number 1
_space_group_name_Hall 'P 1'
_cell_length_a 7.8719
_cell_length_b 7.8719
_cell_length_c 4.8035
_cell_angle_alpha 90.00
_cell_angle_beta 90.00
_cell_angle_gamma 154.87
loop_
_atom_site_label
_atom_site_type_symbol
_atom_site_fract_x
_atom_site_fract_y
_atom_site_fract_z
_atom_site_occupancy
La1 La 0.0765 0.9235 0.7500 1
La2 La 0.9235 0.0765 0.2500 1
Mo1 Mo 0.2539 0.7461 0.2500 1
Mo2 Mo 0.3600 0.6400 0.7500 1
Mo3 Mo 0.6400 0.3600 0.2500 1
Mo4 Mo 0.7461 0.2539 0.7500 1

=====

5.
# PBEsol LaMoN2, relaxed
# excess energy over the best structure of this formula in the dataset: 0.00 eV per formula unit
# SG: I-42d
# E_form (uncorrected): -774 meV per atom
data_LaMoN2
_space_group_name_H-M_alt 'P 1'
_space_group_IT_number 1
_space_group_name_Hall 'P 1'
_cell_length_a 6.3022
_cell_length_b 6.3022
_cell_length_c 6.3022
_cell_angle_alpha 133.72
_cell_angle_beta 133.72
_cell_angle_gamma 67.52
loop_
_atom_site_label
_atom_site_type_symbol
_atom_site_fract_x
_atom_site_fract_y
_atom_site_fract_z
_atom_site_occupancy
La1 La 0.0000 0.0000 0.0000 1
La2 La 0.7500 0.2500 0.5000 1
Mo1 Mo 0.2500 0.7500 0.5000 1
Mo2 Mo 0.5000 0.5000 0.0000 1
N1 N 0.2259 0.6250 0.1009 1
N2 N 0.3750 0.4759 0.6009 1
N3 N 0.5241 0.1250 0.8991 1
N4 N 0.8750 0.7741 0.3991 1

=====

6.
# PBEsol LaMoN2, relaxed
# excess energy over the best structure of this formula in the dataset: 1.88 eV per formula unit
# SG: R-3m
# E_form (uncorrected): -304 meV per atom
data_LaMoN2
_space_group_name_H-M_alt 'P 1'
_space_group_IT_number 1
_space_group_name_Hall 'P 1'
_cell_length_a 6.8592
_cell_length_b 6.8592
_cell_length_c 6.8592
_cell_angle_alpha 26.86
_cell_angle_beta 26.86
_cell_angle_gamma 26.86
loop_
_atom_site_label
_atom_site_type_symbol
_atom_site_fract_x
_atom_site_fract_y
_atom_site_fract_z
_atom_site_occupancy
La1 La 0.0000 0.0000 0.0000 1
Mo1 Mo 0.5000 0.5000 0.5000 1
N1 N 0.1165 0.1165 0.1165 1
N2 N 0.8835 0.8835 0.8835 1

=====

7.
# PBEsol LaMoN2O, relaxed
# SG: P4/mmm
# E_form (uncorrected): 1037 meV per atom
data_LaMoN2O
_space_group_name_H-M_alt 'P 1'
_space_group_IT_number 1
_space_group_name_Hall 'P 1'
_cell_length_a 4.3566
_cell_length_b 4.3566
_cell_length_c 4.2428
_cell_angle_alpha 90.00
_cell_angle_beta 90.00
_cell_angle_gamma 90.00
loop_
_atom_site_label
_atom_site_type_symbol
_atom_site_fract_x
_atom_site_fract_y
_atom_site_fract_z
_atom_site_occupancy
La1 La 0.0000 0.0000 0.0000 1
Mo1 Mo 0.5000 0.5000 0.5000 1
N1 N 0.0000 0.5000 0.0000 1
N2 N 0.5000 0.0000 0.0000 1
O1 O 0.0000 0.0000 0.5000 1

=====

8.
# PBEsol NaLaMo2, relaxed
# energy relative to the elements: 1.373 eV per atom
# SG: Fm-3m
data_NaLaMo2
_space_group_name_H-M_alt 'P 1'
_space_group_IT_number 1
_space_group_name_Hall 'P 1'
_cell_length_a 4.7591
_cell_length_b 4.7591
_cell_length_c 4.7591
_cell_angle_alpha 60.00
_cell_angle_beta 60.00
_cell_angle_gamma 60.00
loop_
_atom_site_label
_atom_site_type_symbol
_atom_site_fract_x
_atom_site_fract_y
_atom_site_fract_z
_atom_site_occupancy
Na1 Na 0.0000 0.0000 0.0000 1
La1 La 0.5000 0.5000 0.5000 1
Mo1 Mo 0.2500 0.2500 0.2500 1
Mo2 Mo 0.7500 0.7500 0.7500 1

=====

9.
# PBEsol NaLa3Mo, relaxed
# energy relative to the elements: 0.321 eV per atom
# SG: Pm-3m
data_NaLa3Mo
_space_group_name_H-M_alt 'P 1'
_space_group_IT_number 1
_space_group_name_Hall 'P 1'
_cell_length_a 5.5293
_cell_length_b 5.5293
_cell_length_c 5.5293
_cell_angle_alpha 90.00
_cell_angle_beta 90.00
_cell_angle_gamma 90.00
loop_
_atom_site_label
_atom_site_type_symbol
_atom_site_fract_x
_atom_site_fract_y
_atom_site_fract_z
_atom_site_occupancy
Na1 Na 0.0000 0.0000 0.0000 1
La1 La 0.0000 0.5000 0.5000 1
La2 La 0.5000 0.0000 0.5000 1
La3 La 0.5000 0.5000 0.0000 1
Mo1 Mo 0.5000 0.5000 0.5000 1

=====

10.
# PBEsol LaNb2MoPd, relaxed
# energy relative to the elements: 1.165 eV per atom
# SG: P4/mmm
data_LaNb2MoPd
_space_group_name_H-M_alt 'P 1'
_space_group_IT_number 1
_space_group_name_Hall 'P 1'
_cell_length_a 4.9021
_cell_length_b 4.9021
_cell_length_c 4.8245
_cell_angle_alpha 90.00
_cell_angle_beta 90.00
_cell_angle_gamma 90.00
loop_
_atom_site_label
_atom_site_type_symbol
_atom_site_fract_x
_atom_site_fract_y
_atom_site_fract_z
_atom_site_occupancy
La1 La 0.0000 0.0000 0.0000 1
Nb1 Nb 0.0000 0.5000 0.5000 1
Nb2 Nb 0.5000 0.0000 0.5000 1
Mo1 Mo 0.5000 0.5000 0.0000 1
Pd1 Pd 0.5000 0.5000 0.5000 1

=====

| no. | calculated total energy (eV/atom) | spin magnetization (μB per atom) |
| --- | --- | --- |
| 1 | -7.0016 | 0.000 |
| 2 | -10.3213 | 0.000 |
| 3 | -9.7450 | 0.000 |
| 4 | -9.2305 | 0.000 |
| 5 | -9.3163 | 0.000 |
| 6 | -8.8457 | 0.000 |
| 7 | -6.8459 | 0.622 |
| 8 | -6.1977 | 0.000 |
| 9 | -5.5203 | 0.000 |
| 10 | -7.7778 | 0.148 |